[1]
VASP calculation (PBE-GGA) on a relaxed structure of TmCdPtO4.

Calculated values
Raw formation energy in meV/atom: -1645

Unit cell a=6.386 b=6.386 c=6.386 alpha=115.98 beta=112.84 gamma=100.00
Sites, in units of the cell vectors:
1 Tm 0.500 0.000 0.000
2 Tm 0.500 0.500 0.500
3 Cd 0.100 0.350 0.750
4 Cd 0.900 0.650 0.250
5 Pt 0.000 0.000 0.000
6 Pt 0.500 0.000 0.500
7 O 0.229 0.173 0.445
8 O 0.229 0.784 0.055
9 O 0.292 0.750 0.543
10 O 0.293 0.250 0.043
11 O 0.707 0.750 0.957
12 O 0.708 0.250 0.457
13 O 0.771 0.216 0.945
14 O 0.771 0.827 0.555


[2]
VASP calculation (PBE-GGA) on a relaxed structure of Sr2Ag2Te.

Calculated values
Raw formation energy in meV/atom: -654
Energy relative to the lowest polymorph listed for this composition in meV per atom: 0

Unit cell a=9.729 b=9.729 c=9.729 alpha=156.06 beta=156.06 gamma=34.11
Sites, in units of the cell vectors:
1 Sr 0.106 0.106 0.000
2 Sr 0.894 0.894 0.000
3 Ag 0.250 0.750 0.500
4 Ag 0.750 0.250 0.500
5 Te 0.500 0.500 0.000


[3]
VASP calculation (PBE-GGA) on a relaxed structure of Ho4Si2Hg5.

Calculated values
Raw formation energy in meV/atom: -461

Unit cell a=7.639 b=3.787 c=9.063 alpha=90.00 beta=95.19 gamma=90.00
Sites, in units of the cell vectors:
1 Ho 0.188 0.000 0.352
2 Ho 0.235 0.000 0.926
3 Ho 0.765 0.000 0.074
4 Ho 0.812 0.000 0.648
5 Si 0.066 0.500 0.121
6 Si 0.934 0.500 0.879
7 Hg 0.152 0.500 0.635
8 Hg 0.454 0.500 0.169
9 Hg 0.500 0.500 0.500
10 Hg 0.546 0.500 0.831
11 Hg 0.848 0.500 0.365


[4]
VASP calculation (PBE-GGA) on a relaxed structure of PrDy2ScSe6.

Calculated values
Raw formation energy in meV/atom: -1785

Unit cell a=7.670 b=7.670 c=7.670 alpha=55.93 beta=55.93 gamma=55.93
Sites, in units of the cell vectors:
1 Pr 0.000 0.000 0.000
2 Dy 0.295 0.295 0.295
3 Dy 0.802 0.802 0.802
4 Sc 0.491 0.491 0.491
5 Se 0.098 0.683 0.414
6 Se 0.220 0.587 0.879
7 Se 0.414 0.098 0.683
8 Se 0.587 0.879 0.220
9 Se 0.683 0.414 0.098
10 Se 0.879 0.220 0.587


Question: Which formula does entry 1 have?
Answer: TmCdPtO4